# Si2MoPb GGA-PBE optimized geometry
data_Si2MoPb
_chemical_formula_sum 'Si2 Mo1 Pb1'
_cell_length_a 3.4030
_cell_length_b 4.5178
_cell_length_c 4.6931
_cell_angle_alpha 90.00
_cell_angle_beta 90.00
_cell_angle_gamma 90.00
_symmetry_space_group_name_H-M 'P m m m'
_symmetry_Int_Tables_number 47
loop_
_symmetry_equiv_pos_as_xyz
'x,y,z'
'-x,-y,-z'
'-x,-y,z'
'x,y,-z'
'x,-y,-z'
'-x,y,z'
'-x,y,-z'
'x,-y,z'
loop_
_atom_site_label
_atom_site_type_symbol
_atom_site_fract_x
_atom_site_fract_y
_atom_site_fract_z
Si1 Si 0.0000 0.0000 0.0000
Si2 Si 0.5000 0.0000 0.5000
Mo1 Mo 0.0000 0.5000 0.5000
Pb1 Pb 0.5000 0.5000 0.0000
# - Uncorrected formation energy: 779 meV/atom
# - Uncorrected energy: -5.568 eV/atom
# - Spin magnetization: 0.00 μB per atom


# TaSiMo2Pb GGA-PBE optimized geometry
data_TaSiMo2Pb
_chemical_formula_sum 'Ta1 Si1 Mo2 Pb1'
_cell_length_a 4.9104
_cell_length_b 4.9104
_cell_length_c 4.8492
_cell_angle_alpha 90.00
_cell_angle_beta 90.00
_cell_angle_gamma 90.00
_symmetry_space_group_name_H-M 'P 4/m m m'
_symmetry_Int_Tables_number 123
_symmetry_space_group_name_Hall '-P 4 2'
loop_
_atom_site_label
_atom_site_type_symbol
_atom_site_fract_x
_atom_site_fract_y
_atom_site_fract_z
Ta1 Ta 0.0000 0.0000 0.0000
Si1 Si 0.0000 0.0000 0.5000
Mo1 Mo 0.0000 0.5000 0.0000
Pb1 Pb 0.5000 0.5000 0.5000
# - Uncorrected formation energy: 1455 meV/atom
# - Uncorrected energy: -7.075 eV/atom
# - Spin magnetization: 0.56 μB per atom


# TlSiMo2Pb GGA-PBE optimized geometry
data_TlSiMo2Pb
_chemical_formula_sum 'Tl1 Si1 Mo2 Pb1'
_cell_length_a 5.3268
_cell_length_b 5.3268
_cell_length_c 5.6538
_cell_angle_alpha 90.00
_cell_angle_beta 90.00
_cell_angle_gamma 90.00
_symmetry_space_group_name_H-M 'P 4/m m m'
_symmetry_Int_Tables_number 123
_symmetry_space_group_name_Hall '-P 4 2'
loop_
_atom_site_label
_atom_site_type_symbol
_atom_site_fract_x
_atom_site_fract_y
_atom_site_fract_z
Tl1 Tl 0.0000 0.0000 0.0000
Si1 Si 0.5000 0.5000 0.0000
Mo1 Mo 0.0000 0.5000 0.5000
Pb1 Pb 0.0000 0.0000 0.5000
# - Uncorrected formation energy: 2205 meV/atom
# - Uncorrected energy: -4.427 eV/atom
# - Spin magnetization: 1.15 μB per atom